1.
# NdGa4O7, relaxed, DFT PBE-GGA
# Energy relative to the elements, uncorrected: -1945 meV/atom
# DOS(E_F): 2.00 states/eV/f.u.
data_NdGa4O7
_chemical_formula_sum 'Nd2 Ga8 O14'
_space_group_name_H-M_alt 'P m n 21'
_space_group_IT_number 31
_cell_length_a 13.224
_cell_length_b 5.298
_cell_length_c 5.057
_cell_angle_alpha 90.00
_cell_angle_beta 90.00
_cell_angle_gamma 90.00
loop_
_space_group_symop_operation_xyz
'x,y,z'
'-x+1/2,-y,z+1/2'
'-x,y,z'
'x+1/2,-y,z+1/2'
loop_
_atom_site_label
_atom_site_type_symbol
_atom_site_fract_x
_atom_site_fract_y
_atom_site_fract_z
Nd1 Nd 0.000 0.079 0.000
Ga1 Ga 0.120 0.651 0.440
Ga2 Ga 0.247 0.175 0.415
O1 O 0.000 0.793 0.309
O2 O 0.119 0.780 0.790
O3 O 0.121 0.316 0.321
O4 O 0.231 0.833 0.289



2.
# BeAlCd2, relaxed, DFT PBE-GGA
# Formation enthalpy at 0 K: 0.27 eV per atom
# Energy above the most stable polymorph in this dataset: 5.3 kJ/mol of atoms
# DOS(E_F): 1.10 states/eV/f.u.
data_BeAlCd2
_chemical_formula_sum 'Be2 Al2 Cd4'
_space_group_name_H-M_alt 'C 1 m 1'
_space_group_IT_number 8
_cell_length_a 4.669
_cell_length_b 3.602
_cell_length_c 8.751
_cell_angle_alpha 90.00
_cell_angle_beta 99.93
_cell_angle_gamma 90.00
loop_
_space_group_symop_operation_xyz
'x,y,z'
'x,-y,z'
'x+1/2,y+1/2,z'
'x+1/2,-y+1/2,z'
loop_
_atom_site_label
_atom_site_type_symbol
_atom_site_fract_x
_atom_site_fract_y
_atom_site_fract_z
Be1 Be 0.000 0.000 0.000
Al1 Al 0.316 0.000 0.809
Cd1 Cd 0.002 0.500 0.525
Cd2 Cd 0.213 0.500 0.225



3.
# DyHfBi, relaxed, DFT PBE-GGA
# Formation enthalpy at 0 K: -0.14 eV per atom
# DOS(E_F): 4.28 states/eV/f.u.
data_DyHfBi
_chemical_formula_sum 'Dy2 Hf2 Bi2'
_space_group_name_H-M_alt 'P 4/n m m'
_space_group_IT_number 129
_cell_length_a 4.150
_cell_length_b 4.150
_cell_length_c 9.750
_cell_angle_alpha 90.00
_cell_angle_beta 90.00
_cell_angle_gamma 90.00
loop_
_space_group_symop_operation_xyz
'x,y,z'
'-x,-y,-z'
'-y+1/2,x,z'
'y+1/2,-x,-z'
'-x+1/2,-y+1/2,z'
'x+1/2,y+1/2,-z'
'y,-x+1/2,z'
'-y,x+1/2,-z'
'x+1/2,-y,-z'
'-x+1/2,y,z'
'-y,-x,-z'
'y,x,z'
'-x,y+1/2,-z'
'x,-y+1/2,z'
'y+1/2,x+1/2,-z'
'-y+1/2,-x+1/2,z'
loop_
_atom_site_label
_atom_site_type_symbol
_atom_site_fract_x
_atom_site_fract_y
_atom_site_fract_z
Dy1 Dy 0.250 0.250 0.236
Hf1 Hf 0.250 0.250 0.568
Bi1 Bi 0.250 0.250 0.885



4.
# Ti3CrCu, relaxed, DFT PBE-GGA
# Formation enthalpy at 0 K: 0.70 eV per atom
# DOS(E_F): 7.73 states/eV/f.u.
data_Ti3CrCu
_chemical_formula_sum 'Ti3 Cr1 Cu1'
_space_group_name_H-M_alt 'P m -3 m'
_space_group_IT_number 221
_space_group_name_Hall '-P 4 2 3'
_cell_length_a 4.478
_cell_length_b 4.478
_cell_length_c 4.478
_cell_angle_alpha 90.00
_cell_angle_beta 90.00
_cell_angle_gamma 90.00
loop_
_atom_site_label
_atom_site_type_symbol
_atom_site_fract_x
_atom_site_fract_y
_atom_site_fract_z
Ti1 Ti 0.000 0.000 0.500
Cr1 Cr 0.000 0.000 0.000
Cu1 Cu 0.500 0.500 0.500



5.
# SrNbO, relaxed, DFT PBE-GGA
# Energy relative to the elements, uncorrected: -893 meV/atom
# DOS(E_F): 0.18 states/eV/f.u.
data_SrNbO
_chemical_formula_sum 'Sr4 Nb4 O4'
_space_group_name_H-M_alt 'A m m 2'
_space_group_IT_number 38
_cell_length_a 11.732
_cell_length_b 3.317
_cell_length_c 5.750
_cell_angle_alpha 90.00
_cell_angle_beta 90.00
_cell_angle_gamma 90.00
loop_
_space_group_symop_operation_xyz
'x,y,z'
'-x,-y,z'
'-x,y,z'
'x,-y,z'
'x,y+1/2,z+1/2'
'-x,-y+1/2,z+1/2'
'-x,y+1/2,z+1/2'
'x,-y+1/2,z+1/2'
loop_
_atom_site_label
_atom_site_type_symbol
_atom_site_fract_x
_atom_site_fract_y
_atom_site_fract_z
Sr1 Sr 0.138 0.000 0.000
Nb1 Nb 0.386 0.000 0.332
O1 O 0.000 0.000 0.667
O2 O 0.500 0.000 0.665



6.
# La5SmDy, relaxed, DFT PBE-GGA
# Formation enthalpy at 0 K: 0.16 eV per atom
# Energy above the most stable polymorph in this dataset: 2.2 kJ/mol of atoms
# DOS(E_F): 11.39 states/eV/f.u.
data_La5SmDy
_chemical_formula_sum 'La20 Sm4 Dy4'
_space_group_name_H-M_alt 'C 1 2/c 1'
_space_group_IT_number 15
_cell_length_a 6.296
_cell_length_b 17.815
_cell_length_c 9.208
_cell_angle_alpha 90.00
_cell_angle_beta 101.56
_cell_angle_gamma 90.00
loop_
_space_group_symop_operation_xyz
'x,y,z'
'-x,-y,-z'
'-x,y,-z+1/2'
'x,-y,z+1/2'
'x+1/2,y+1/2,z'
'-x+1/2,-y+1/2,-z'
'-x+1/2,y+1/2,-z+1/2'
'x+1/2,-y+1/2,z+1/2'
loop_
_atom_site_label
_atom_site_type_symbol
_atom_site_fract_x
_atom_site_fract_y
_atom_site_fract_z
La1 La 0.000 0.140 0.250
La2 La 0.109 0.348 0.965
La3 La 0.205 0.185 0.649
Sm1 Sm 0.000 0.000 0.000
Dy1 Dy 0.000 0.490 0.250



7.
# V2CrH2, relaxed, DFT PBE-GGA
# Energy above the most stable polymorph in this dataset: 16.3 kJ/mol of atoms
# DOS(E_F): 2.39 states/eV/f.u.
data_V2CrH2
_chemical_formula_sum 'V2 Cr1 H2'
_space_group_name_H-M_alt 'P 4/m m m'
_space_group_IT_number 123
_space_group_name_Hall '-P 4 2'
_cell_length_a 2.867
_cell_length_b 2.867
_cell_length_c 5.555
_cell_angle_alpha 90.00
_cell_angle_beta 90.00
_cell_angle_gamma 90.00
loop_
_atom_site_label
_atom_site_type_symbol
_atom_site_fract_x
_atom_site_fract_y
_atom_site_fract_z
V1 V 0.000 0.000 0.241
Cr1 Cr 0.500 0.500 0.500
H1 H 0.000 0.500 0.000



8.
# ThMgPa2Pt4, relaxed, DFT PBE-GGA
# Formation enthalpy at 0 K: -0.98 eV per atom
# DOS(E_F): 7.50 states/eV/f.u.
data_ThMgPa2Pt4
_chemical_formula_sum 'Th4 Mg4 Pa8 Pt16'
_space_group_name_H-M_alt 'F m m 2'
_space_group_IT_number 42
_space_group_name_Hall 'F 2 -2'
_cell_length_a 7.574
_cell_length_b 11.147
_cell_length_c 8.476
_cell_angle_alpha 90.00
_cell_angle_beta 90.00
_cell_angle_gamma 90.00
loop_
_atom_site_label
_atom_site_type_symbol
_atom_site_fract_x
_atom_site_fract_y
_atom_site_fract_z
Th1 Th 0.000 0.000 0.000
Mg1 Mg 0.000 0.000 0.604
Pa1 Pa 0.250 0.250 0.227
Pt1 Pt 0.000 0.224 0.476
Pt2 Pt 0.185 0.000 0.304



9.
# Rb2MgZnSb2, relaxed, DFT PBE-GGA
# Energy relative to the elements, uncorrected: -451 meV/atom
# DOS(E_F): 0.45 states/eV/f.u.
data_Rb2MgZnSb2
_chemical_formula_sum 'Rb8 Mg4 Zn4 Sb8'
_space_group_name_H-M_alt 'I b a m'
_space_group_IT_number 72
_space_group_name_Hall '-I 2 2c'
_cell_length_a 6.796
_cell_length_b 17.257
_cell_length_c 6.841
_cell_angle_alpha 90.00
_cell_angle_beta 90.00
_cell_angle_gamma 90.00
loop_
_atom_site_label
_atom_site_type_symbol
_atom_site_fract_x
_atom_site_fract_y
_atom_site_fract_z
Rb1 Rb 0.249 0.173 0.000
Mg1 Mg 0.000 0.500 0.250
Zn1 Zn 0.000 0.000 0.250
Sb1 Sb 0.239 0.093 0.500



10.
# HgH2Se, relaxed, DFT PBE-GGA
# Energy above the most stable polymorph in this dataset: 0.0 kJ/mol of atoms
# DOS(E_F): 0.00 states/eV/f.u.
data_HgH2Se
_chemical_formula_sum 'Hg4 H8 Se4'
_space_group_name_H-M_alt 'I 41/a m d'
_space_group_IT_number 141
_cell_length_a 5.815
_cell_length_b 5.815
_cell_length_c 8.284
_cell_angle_alpha 90.00
_cell_angle_beta 90.00
_cell_angle_gamma 90.00
loop_
_space_group_symop_operation_xyz
'x,y,z'
'-x,-y,-z'
'-y+1/4,x+3/4,z+1/4'
'y+1/4,-x+3/4,-z+1/4'
'-x+1/2,-y,z+1/2'
'x+1/2,y,-z+1/2'
'y+1/4,-x+1/4,z+3/4'
'-y+1/4,x+1/4,-z+3/4'
'x,-y,-z'
'-x,y,z'
'-y+1/4,-x+1/4,-z+3/4'
'y+1/4,x+1/4,z+3/4'
'-x+1/2,y,-z+1/2'
'x+1/2,-y,z+1/2'
'y+1/4,x+3/4,-z+1/4'
'-y+1/4,-x+3/4,z+1/4'
'x+1/2,y+1/2,z+1/2'
'-x+1/2,-y+1/2,-z+1/2'
'-y+3/4,x+1/4,z+3/4'
'y+3/4,-x+1/4,-z+3/4'
'-x,-y+1/2,z'
'x,y+1/2,-z'
'y+3/4,-x+3/4,z+1/4'
'-y+3/4,x+3/4,-z+1/4'
'x+1/2,-y+1/2,-z+1/2'
'-x+1/2,y+1/2,z+1/2'
'-y+3/4,-x+3/4,-z+1/4'
'y+3/4,x+3/4,z+1/4'
'-x,y+1/2,-z'
'x,-y+1/2,z'
'y+3/4,x+1/4,-z+3/4'
'-y+3/4,-x+1/4,z+3/4'
loop_
_atom_site_label
_atom_site_type_symbol
_atom_site_fract_x
_atom_site_fract_y
_atom_site_fract_z
Hg1 Hg 0.000 0.250 0.375
H1 H 0.000 0.000 0.000
Se1 Se 0.000 0.250 0.875



11.
# LaScCr2P, relaxed, DFT PBE-GGA
# Formation enthalpy at 0 K: 0.53 eV per atom
# DOS(E_F): 3.37 states/eV/f.u.
data_LaScCr2P
_chemical_formula_sum 'La1 Sc1 Cr2 P1'
_space_group_name_H-M_alt 'P 4/m m m'
_space_group_IT_number 123
_space_group_name_Hall '-P 4 2'
_cell_length_a 4.868
_cell_length_b 4.868
_cell_length_c 4.975
_cell_angle_alpha 90.00
_cell_angle_beta 90.00
_cell_angle_gamma 90.00
loop_
_atom_site_label
_atom_site_type_symbol
_atom_site_fract_x
_atom_site_fract_y
_atom_site_fract_z
La1 La 0.000 0.000 0.000
Sc1 Sc 0.500 0.500 0.500
Cr1 Cr 0.000 0.500 0.500
P1 P 0.500 0.500 0.000



12.
# KY2Al, relaxed, DFT PBE-GGA
# Formation enthalpy at 0 K: 0.35 eV per atom
# DOS(E_F): 3.18 states/eV/f.u.
data_KY2Al
_chemical_formula_sum 'K2 Y4 Al2'
_space_group_name_H-M_alt 'I -4 m 2'
_space_group_IT_number 119
_space_group_name_Hall 'I -4 -2'
_cell_length_a 4.833
_cell_length_b 4.833
_cell_length_c 10.236
_cell_angle_alpha 90.00
_cell_angle_beta 90.00
_cell_angle_gamma 90.00
loop_
_atom_site_label
_atom_site_type_symbol
_atom_site_fract_x
_atom_site_fract_y
_atom_site_fract_z
K1 K 0.000 0.000 0.000
Y1 Y 0.000 0.000 0.500
Y2 Y 0.000 0.500 0.750
Al1 Al 0.000 0.500 0.250